No. 1
First-principles (meta-GGA SCAN) data for PdS3Br at its PBEsol-relaxed geometry, as listed in Alexandria via LeMat-Bulk.

Results
Crystal system: cubic
Energy above the most stable polymorph in this dataset (eV/f.u.): 0.00
Total magnetic moment (μB per formula unit): 0.0
Uncorrected formation energy (eV per atom): 0.733
D(E_F) (states/eV/atom): 1.268
Energy (eV per atom): -15.4903

Cell lengths 4.638, 4.638, 4.638 Å; angles 90.00, 90.00, 90.00 degrees
Fractional positions:
S1 0.000 0.500 0.000
Pd1 0.000 0.000 0.000
S2 0.000 0.000 0.500
Br1 0.500 0.500 0.500
S3 0.500 0.000 0.000

No. 2
First-principles (meta-GGA SCAN) data for CsTl2Se2 at its PBEsol-relaxed geometry, as listed in Alexandria via LeMat-Bulk.

Results
Crystal system: tetragonal
Total magnetic moment (μB per formula unit): 0.0
Uncorrected formation energy (eV per atom): -0.621
D(E_F) (states/eV/atom): 0.303
Energy (eV per atom): -45.1577

Cell lengths 5.504, 5.504, 6.524 Å; angles 114.95, 114.95, 90.00 degrees
Fractional positions:
Se1 0.250 0.750 0.500
Tl1 0.353 0.353 0.705
Se2 0.750 0.250 0.500
Tl2 0.647 0.647 0.295
Cs1 0.000 0.000 0.000

No. 3
First-principles (meta-GGA SCAN) data for Na3YTe at its PBEsol-relaxed geometry, as listed in Alexandria via LeMat-Bulk.

Results
Crystal system: cubic
Total magnetic moment (μB per formula unit): 2.0
Uncorrected formation energy (eV per atom): 0.045
D(E_F) (states/eV/atom): 0.283
Energy (eV per atom): -15.5028

Cell lengths 5.793, 5.793, 5.793 Å; angles 90.00, 90.00, 90.00 degrees
Fractional positions:
Y1 0.500 0.500 0.500
Na1 0.000 0.500 0.000
Na2 0.000 0.000 0.500
Na3 0.500 0.000 0.000
Te1 0.000 0.000 0.000

No. 4
First-principles (meta-GGA SCAN) data for CaGe3Cl at its PBEsol-relaxed geometry, as listed in Alexandria via LeMat-Bulk.

Results
Crystal system: cubic
Total magnetic moment (μB per formula unit): 1.9
Uncorrected formation energy (eV per atom): 1.043
D(E_F) (states/eV/atom): 1.288
Energy (eV per atom): -13.9375

Cell lengths 5.459, 5.459, 5.459 Å; angles 90.00, 90.00, 90.00 degrees
Fractional positions:
Ge1 0.000 0.500 0.000
Ca1 0.000 0.000 0.000
Ge2 0.000 0.000 0.500
Cl1 0.500 0.500 0.500
Ge3 0.500 0.000 0.000

No. 5
First-principles (meta-GGA SCAN) data for MgAlFe at its PBEsol-relaxed geometry, as listed in Alexandria via LeMat-Bulk.

Results
Crystal system: cubic
Total magnetic moment (μB per formula unit): 2.3
D(E_F) (states/eV/atom): 0.883
Energy relative to the elements (meV/atom): 291
Energy (eV per atom): -9.9939

Cell lengths 4.198, 4.198, 4.198 Å; angles 60.00, 60.00, 60.00 degrees
Fractional positions:
Fe1 0.250 0.250 0.250
Al1 0.500 0.500 0.500
Mg1 0.000 0.000 0.000

No. 6
First-principles (meta-GGA SCAN) data for TaSbRu3 at its PBEsol-relaxed geometry, as listed in Alexandria via LeMat-Bulk.

Results
Crystal system: cubic
Total magnetic moment (μB per formula unit): 0.0
Uncorrected formation energy (eV per atom): 1.776
D(E_F) (states/eV/atom): 0.889
Energy (eV per atom): -39.8887

Cell lengths 4.618, 4.618, 4.618 Å; angles 90.00, 90.00, 90.00 degrees
Fractional positions:
Ta1 0.500 0.500 0.500
Ru1 0.500 0.000 0.000
Ru2 0.000 0.500 0.000
Ru3 0.000 0.000 0.500
Sb1 0.000 0.000 0.000

No. 7
First-principles (meta-GGA SCAN) data for FeOsSe2 at its PBEsol-relaxed geometry, as listed in Alexandria via LeMat-Bulk.

Results
Crystal system: tetragonal
Energy above the most stable polymorph in this dataset (eV/f.u.): 1.51
Total magnetic moment (μB per formula unit): 2.4
Uncorrected formation energy (eV per atom): 0.616
D(E_F) (states/eV/atom): 0.868
Energy (eV per atom): -31.9259

Cell lengths 3.036, 3.036, 6.147 Å; angles 90.00, 90.00, 90.00 degrees
Fractional positions:
Se1 0.000 0.000 0.239
Se2 0.000 0.000 0.761
Os1 0.500 0.500 0.500
Fe1 0.500 0.500 0.000

No. 8
First-principles (meta-GGA SCAN) data for AlBiTeN2 at its PBEsol-relaxed geometry, as listed in Alexandria via LeMat-Bulk.

Results
Crystal system: tetragonal
Total magnetic moment (μB per formula unit): 1.5
Uncorrected formation energy (eV per atom): 1.556
D(E_F) (states/eV/atom): 0.658
Energy (eV per atom): -26.8772

Cell lengths 4.260, 4.260, 6.281 Å; angles 90.00, 90.00, 90.00 degrees
Fractional positions:
N1 0.000 0.500 0.000
Bi1 0.000 0.000 0.000
Te1 0.000 0.000 0.500
Al1 0.500 0.500 0.500
N2 0.500 0.000 0.000

No. 9
First-principles (meta-GGA SCAN) data for LaZnIrCl2 at its PBEsol-relaxed geometry, as listed in Alexandria via LeMat-Bulk.

Results
Crystal system: tetragonal
Total magnetic moment (μB per formula unit): 0.0
Uncorrected formation energy (eV per atom): -0.264
D(E_F) (states/eV/atom): 0.743
Energy (eV per atom): -28.9989

Cell lengths 4.878, 4.878, 5.273 Å; angles 90.00, 90.00, 90.00 degrees
Fractional positions:
Zn1 0.500 0.500 0.500
La1 0.000 0.000 0.500
Cl1 0.000 0.500 0.000
Ir1 0.000 0.000 0.000
Cl2 0.500 0.000 0.000

No. 10
First-principles (meta-GGA SCAN) data for SrMn4Al at its PBEsol-relaxed geometry, as listed in Alexandria via LeMat-Bulk.

Results
Crystal system: cubic
Total magnetic moment (μB per formula unit): 0.0
D(E_F) (states/eV/atom): 1.084
Energy relative to the elements (meV/atom): 722
Energy (eV per atom): -16.4521

Cell lengths 4.923, 4.923, 4.923 Å; angles 60.00, 60.00, 60.00 degrees
Fractional positions:
Mn1 0.373 0.373 0.373
Sr1 0.750 0.750 0.750
Mn2 0.373 0.881 0.373
Mn3 0.881 0.373 0.373
Al1 0.000 0.000 0.000
Mn4 0.373 0.373 0.881

No. 11
First-principles (meta-GGA SCAN) data for MgMnPt at its PBEsol-relaxed geometry, as listed in Alexandria via LeMat-Bulk.

Results
Crystal system: orthorhombic
Total magnetic moment (μB per formula unit): 4.4
D(E_F) (states/eV/atom): 0.359
Energy relative to the elements (meV/atom): -682
Energy (eV per atom): -31.8228

Cell lengths 2.889, 3.782, 4.848 Å; angles 112.96, 107.34, 90.00 degrees
Fractional positions:
Pt1 0.328 0.328 0.655
Mn1 0.676 0.676 0.353
Mg1 0.996 0.996 0.992

No. 12
First-principles (meta-GGA SCAN) data for MnTl2Se at its PBEsol-relaxed geometry, as listed in Alexandria via LeMat-Bulk.

Results
Crystal system: orthorhombic
Energy above the most stable polymorph in this dataset (eV/f.u.): 0.00
Total magnetic moment (μB per formula unit): 4.1
Uncorrected formation energy (eV per atom): -0.228
D(E_F) (states/eV/atom): 0.398
Energy (eV per atom): -45.9902

Cell lengths 3.390, 3.719, 8.073 Å; angles 103.32, 102.12, 90.00 degrees
Fractional positions:
Tl1 0.325 0.325 0.650
Se1 0.500 0.000 0.000
Tl2 0.675 0.675 0.350
Mn1 0.000 0.500 0.000